Record 1
Entry from Alexandria via LeMat-Bulk: a geometry-optimized Li2SnH10O8 structure (PBE).

Summary:
- Mass density: 2.6 Mg/m³
- DOS(E_F): 0.000 states/eV/f.u.
- SG: No. 14
- Energy above the most stable polymorph in this dataset: 0.000 eV/atom
- Electronic total energy: -5.167 eV per atom

a b c (Å): 6.1441 10.4041 6.0760
angles (deg): 90.00 117.89 90.00
Sites, in units of the cell vectors:
Li 0.1735 0.0668 0.3447
Li 0.1735 0.4332 0.8447
Li 0.8265 0.5668 0.1553
Li 0.8265 0.9332 0.6553
Sn 0.5000 0.0000 0.0000
Sn 0.5000 0.5000 0.5000
H 0.0221 0.1318 0.6966
H 0.0221 0.3682 0.1966
H 0.1465 0.6249 0.6534
H 0.1465 0.8751 0.1534
H 0.1985 0.6974 0.3743
H 0.1985 0.8026 0.8743
H 0.3471 0.2103 0.7147
H 0.3471 0.2897 0.2147
H 0.4272 0.6232 0.1099
H 0.4272 0.8768 0.6099
H 0.5728 0.1232 0.3901
H 0.5728 0.3768 0.8901
H 0.6529 0.7103 0.7853
H 0.6529 0.7897 0.2853
H 0.8015 0.1974 0.1257
H 0.8015 0.3026 0.6257
H 0.8535 0.1249 0.8466
H 0.8535 0.3751 0.3466
H 0.9779 0.6318 0.8034
H 0.9779 0.8682 0.3034
O 0.1519 0.6301 0.8232
O 0.1519 0.8699 0.3232
O 0.1754 0.6059 0.4049
O 0.1754 0.8941 0.9049
O 0.2832 0.1208 0.6949
O 0.2832 0.3792 0.1949
O 0.4170 0.1171 0.2318
O 0.4170 0.3829 0.7318
O 0.5830 0.6171 0.2682
O 0.5830 0.8829 0.7682
O 0.7168 0.6208 0.8051
O 0.7168 0.8792 0.3051
O 0.8246 0.1059 0.0951
O 0.8246 0.3941 0.5951
O 0.8481 0.1301 0.6768
O 0.8481 0.3699 0.1768



Record 2
Entry from Alexandria via LeMat-Bulk: a geometry-optimized RbLiNpBr6 structure (PBE).

Summary:
- Mass density: 3.9 Mg/m³
- DOS(E_F): 4.701 states/eV/f.u.
- SG: No. 163
- Electronic total energy: -4.319 eV per atom
- Formation energy (no corrections): -1446 meV per atom

a b c (Å): 7.2121 7.2121 15.4708
angles (deg): 90.00 90.00 120.00
Sites, in units of the cell vectors:
Rb 0.0000 0.0000 0.0000
Rb 0.0000 0.0000 0.5000
Li 0.3333 0.6667 0.2500
Li 0.6667 0.3333 0.7500
Np 0.3333 0.6667 0.7500
Np 0.6667 0.3333 0.2500
Br 0.0011 0.3698 0.6469
Br 0.0011 0.6313 0.8531
Br 0.3687 0.3698 0.8531
Br 0.3687 0.9989 0.6469
Br 0.3698 0.0011 0.1469
Br 0.3698 0.3687 0.3531
Br 0.6302 0.6313 0.6469
Br 0.6302 0.9989 0.8531
Br 0.6313 0.0011 0.3531
Br 0.6313 0.6302 0.1469
Br 0.9989 0.3687 0.1469
Br 0.9989 0.6302 0.3531



Record 3
Entry from Alexandria via LeMat-Bulk: a geometry-optimized KTl2W structure (PBE).

Summary:
- Mass density: 10.2 Mg/m³
- DOS(E_F): 2.709 states/eV/f.u.
- SG: No. 119
- Energy above the most stable polymorph in this dataset: 0.578 eV/atom
- Electronic total energy: -3.446 eV per atom

a b c (Å): 6.2413 6.2413 6.2413
angles (deg): 139.28 139.28 58.95
Sites, in units of the cell vectors:
K 0.0000 0.0000 0.0000
Tl 0.2500 0.7500 0.5000
Tl 0.5000 0.5000 0.0000
W 0.7500 0.2500 0.5000



Record 4
Entry from Alexandria via LeMat-Bulk: a geometry-optimized Tb3Nd12Mg structure (PBE).

Summary:
- Mass density: 6.8 Mg/m³
- DOS(E_F): 22.882 states/eV/f.u.
- SG: No. 123
- Electronic total energy: -4.534 eV per atom

a b c (Å): 5.1261 5.1261 20.6147
angles (deg): 90.00 90.00 90.00
Sites, in units of the cell vectors:
Tb 0.0000 0.0000 0.0000
Tb 0.0000 0.0000 0.2522
Tb 0.0000 0.0000 0.7478
Nd 0.0000 0.5000 0.1260
Nd 0.0000 0.5000 0.3773
Nd 0.0000 0.5000 0.6227
Nd 0.0000 0.5000 0.8740
Nd 0.5000 0.0000 0.1260
Nd 0.5000 0.0000 0.3773
Nd 0.5000 0.0000 0.6227
Nd 0.5000 0.0000 0.8740
Nd 0.5000 0.5000 0.0000
Nd 0.5000 0.5000 0.2533
Nd 0.5000 0.5000 0.5000
Nd 0.5000 0.5000 0.7467
Mg 0.0000 0.0000 0.5000



Record 5
Entry from Alexandria via LeMat-Bulk: a geometry-optimized Sc3TiTl3Te8 structure (PBE).

Summary:
- Mass density: 6.1 Mg/m³
- DOS(E_F): 2.475 states/eV/f.u.
- SG: No. 166
- Electronic total energy: -4.798 eV per atom
- Formation energy (no corrections): -857 meV per atom

a b c (Å): 9.5493 9.5493 9.5493
angles (deg): 51.55 51.55 51.55
Sites, in units of the cell vectors:
Sc 0.0000 0.5000 0.5000
Sc 0.5000 0.0000 0.5000
Sc 0.5000 0.5000 0.0000
Ti 0.0000 0.0000 0.0000
Tl 0.0000 0.0000 0.5000
Tl 0.0000 0.5000 0.0000
Tl 0.5000 0.0000 0.0000
Te 0.2274 0.2274 0.7441
Te 0.2274 0.7441 0.2274
Te 0.2559 0.7726 0.7726
Te 0.2653 0.2653 0.2653
Te 0.7347 0.7347 0.7347
Te 0.7441 0.2274 0.2274
Te 0.7726 0.2559 0.7726
Te 0.7726 0.7726 0.2559



Record 6
Entry from Alexandria via LeMat-Bulk: a geometry-optimized Tb3CeAl8 structure (PBE).

Summary:
- Mass density: 5.6 Mg/m³
- DOS(E_F): 10.617 states/eV/f.u.
- SG: No. 156
- Energy above the most stable polymorph in this dataset: 0.011 eV/atom
- Electronic total energy: -4.633 eV per atom

a b c (Å): 5.5739 5.5739 9.1877
angles (deg): 90.00 90.00 120.00
Sites, in units of the cell vectors:
Tb 0.0000 0.0000 0.0000
Tb 0.0000 0.0000 0.3671
Tb 0.3333 0.6667 0.8613
Ce 0.3333 0.6667 0.5021
Al 0.0089 0.5045 0.1822
Al 0.3253 0.1626 0.6851
Al 0.4955 0.5045 0.1822
Al 0.4955 0.9911 0.1822
Al 0.6667 0.3333 0.4326
Al 0.6667 0.3333 0.9371
Al 0.8374 0.1626 0.6851
Al 0.8374 0.6747 0.6851